Entry 1:
Compound: SbPt2Au
Source: the Alexandria database
Functional: PBEsol
Structure: optimized geometry

Cell and atoms, written as POSCAR:
```
SbPt2Au
1.0
-2.066 2.066 4.009
2.066 -2.066 4.009
2.066 2.066 -4.009
Sb Pt Au
1 2 1
Direct
0.000 0.000 0.000
0.250 0.750 0.500
0.750 0.250 0.500
0.500 0.500 0.000
```

## Properties
* space-group type: I4/mmm (139)
* uncorrected formation energy: -0.08 eV per atom


Entry 2:
Compound: ScPtAu
Source: the Alexandria database
Functional: PBEsol
Structure: optimized geometry

Cell and atoms, written as POSCAR:
```
ScPtAu
1.0
-1.721 1.721 4.353
1.721 -1.721 4.353
1.721 1.721 -4.353
Sc Pt Au
1 1 1
Direct
0.000 0.000 0.000
0.652 0.652 0.000
0.329 0.329 0.000
```

## Properties
* space-group type: I4mm (107)
* energy of formation: -907.2 meV/atom


Entry 3:
Compound: ScPtAu
Source: the Alexandria database
Functional: PBEsol
Structure: optimized geometry

Cell and atoms, written as POSCAR:
```
ScPtAu
1.0
4.519 0.000 0.000
-2.260 3.914 0.000
0.000 0.000 2.879
Sc Pt Au
1 1 1
Direct
0.000 0.000 0.000
0.667 0.333 0.696
0.333 0.667 0.373
```

## Properties
* space-group type: P3m1 (156)
* energy of formation: -724.6 meV/atom


Entry 4:
Compound: ScTl2PtAu
Source: the Alexandria database
Functional: PBEsol
Structure: optimized geometry

Cell and atoms, written as POSCAR:
```
ScTl2PtAu
1.0
5.058 0.000 0.000
0.000 5.058 0.000
0.000 0.000 5.127
Sc Tl Pt Au
1 2 1 1
Direct
0.000 0.000 0.000
0.000 0.500 0.500
0.500 0.000 0.500
0.500 0.500 0.500
0.500 0.500 0.000
```

## Properties
* space-group type: P4/mmm (123)
* energy of formation: 327.8 meV/atom


Entry 5:
Compound: PtAu3Se
Source: the Alexandria database
Functional: PBEsol
Structure: optimized geometry

Cell and atoms, written as POSCAR:
```
PtAu3Se
1.0
4.944 0.000 0.000
0.000 4.944 0.000
0.000 0.000 4.944
Pt Au Se
1 3 1
Direct
0.000 0.000 0.000
0.000 0.000 0.500
0.000 0.500 0.000
0.500 0.000 0.000
0.500 0.500 0.500
```

## Properties
* space-group type: Pm-3m (221)
* uncorrected formation energy: 1.10 eV per atom


Entry 6:
Compound: Si2PtAu
Source: the Alexandria database
Functional: PBEsol
Structure: optimized geometry

Cell and atoms, written as POSCAR:
```
Si2PtAu
1.0
-2.114 2.114 3.386
2.114 -2.114 3.386
2.114 2.114 -3.386
Si Pt Au
2 1 1
Direct
0.250 0.750 0.500
0.750 0.250 0.500
0.000 0.000 0.000
0.500 0.500 0.000
```

## Properties
* space-group type: I4/mmm (139)
* uncorrected formation energy: 0.04 eV per atom


Entry 7:
Compound: Si2PtAu2
Source: the Alexandria database
Functional: PBEsol
Structure: optimized geometry

Cell and atoms, written as POSCAR:
```
Si2PtAu2
1.0
-1.888 1.888 5.786
1.888 -1.888 5.786
1.888 1.888 -5.786
Si Pt Au
2 1 2
Direct
0.095 0.095 0.000
0.905 0.905 0.000
0.500 0.500 0.000
0.250 0.750 0.500
0.750 0.250 0.500
```

## Properties
* space-group type: I4/mmm (139)
* uncorrected formation energy: 0.26 eV per atom


Entry 8:
Compound: Si2PtAu
Source: the Alexandria database
Functional: PBEsol
Structure: optimized geometry

Cell and atoms, written as POSCAR:
```
Si2PtAu
1.0
-1.938 1.938 4.009
1.938 -1.938 4.009
1.938 1.938 -4.009
Si Pt Au
2 1 1
Direct
0.000 0.000 0.000
0.750 0.250 0.500
0.250 0.750 0.500
0.500 0.500 0.000
```

## Properties
* space-group type: I-4m2 (119)
* uncorrected formation energy: 0.04 eV per atom


Entry 9:
Compound: Si2Pt2Au
Source: the Alexandria database
Functional: PBEsol
Structure: optimized geometry

Cell and atoms, written as POSCAR:
```
Si2Pt2Au
1.0
-1.847 1.847 5.746
1.847 -1.847 5.746
1.847 1.847 -5.746
Si Pt Au
2 2 1
Direct
0.250 0.750 0.500
0.750 0.250 0.500
0.119 0.119 0.000
0.881 0.881 0.000
0.500 0.500 0.000
```

## Properties
* space-group type: I4/mmm (139)
* uncorrected formation energy: -0.42 eV per atom


Entry 10:
Compound: SnPtAu3
Source: the Alexandria database
Functional: PBEsol
Structure: optimized geometry

Cell and atoms, written as POSCAR:
```
SnPtAu3
1.0
4.978 0.000 0.000
0.000 4.978 0.000
0.000 0.000 4.978
Sn Pt Au
1 1 3
Direct
0.000 0.000 0.000
0.500 0.500 0.500
0.000 0.500 0.500
0.500 0.000 0.500
0.500 0.500 0.000
```

## Properties
* space-group type: Pm-3m (221)
* energy of formation: 674.5 meV/atom


Entry 11:
Compound: TiSn2PtAu
Source: the Alexandria database
Functional: PBEsol
Structure: optimized geometry

Cell and atoms, written as POSCAR:
```
TiSn2PtAu
1.0
5.181 0.000 0.000
0.000 5.181 0.000
0.000 0.000 4.563
Ti Sn Pt Au
1 2 1 1
Direct
0.000 0.000 0.000
0.000 0.500 0.000
0.500 0.000 0.000
0.000 0.000 0.500
0.500 0.500 0.500
```

## Properties
* space-group type: P4/mmm (123)
* energy of formation: 609.4 meV/atom


Entry 12:
Compound: SrPt2Au
Source: the Alexandria database
Functional: PBEsol
Structure: optimized geometry

Cell and atoms, written as POSCAR:
```
SrPt2Au
1.0
3.974 -2.292 0.000
3.974 2.292 0.000
-2.657 0.000 5.119
Sr Pt Au
1 2 1
Direct
0.000 0.000 0.000
0.185 0.185 0.556
0.815 0.815 0.444
0.500 0.500 0.500
```

## Properties
* space-group type: C2/m (12)
* energy of formation: -483.1 meV/atom


Entry 13:
Compound: Sr2PtAu
Source: the Alexandria database
Functional: PBEsol
Structure: optimized geometry

Cell and atoms, written as POSCAR:
```
Sr2PtAu
1.0
4.564 0.000 0.000
0.000 2.097 5.603
0.000 -2.097 5.603
Sr Pt Au
2 1 1
Direct
0.000 0.000 0.000
0.500 0.281 0.281
0.500 0.566 0.566
0.000 0.713 0.713
```

## Properties
* space-group type: Amm2 (38)
* energy of formation: -733.5 meV/atom


Entry 14:
Compound: SrPtAu2
Source: the Alexandria database
Functional: PBEsol
Structure: optimized geometry

Cell and atoms, written as POSCAR:
```
SrPtAu2
1.0
0.000 2.938 4.985
2.851 0.000 4.985
2.851 2.938 0.000
Sr Pt Au
1 1 2
Direct
0.000 0.000 0.000
0.500 0.500 0.500
0.000 0.500 0.500
0.500 0.000 0.000
```

## Properties
* space-group type: Fmmm (69)
* energy of formation: -202.4 meV/atom


Entry 15:
Compound: Sr2PtAu
Source: the Alexandria database
Functional: PBEsol
Structure: optimized geometry

Cell and atoms, written as POSCAR:
```
Sr2PtAu
1.0
5.165 0.000 0.000
0.000 5.165 0.000
0.000 0.000 3.727
Sr Pt Au
2 1 1
Direct
0.000 0.500 0.000
0.500 0.000 0.000
0.000 0.000 0.500
0.500 0.500 0.500
```

## Properties
* space-group type: P4/mmm (123)
* energy of formation: -664.9 meV/atom


Entry 16:
Compound: TaPtAu2
Source: the Alexandria database
Functional: PBEsol
Structure: optimized geometry

Cell and atoms, written as POSCAR:
```
TaPtAu2
1.0
2.869 0.000 0.000
0.000 2.869 0.000
0.000 0.000 7.991
Ta Pt Au
1 1 2
Direct
0.000 0.000 0.000
0.500 0.500 0.770
0.000 0.000 0.512
0.500 0.500 0.251
```

## Properties
* space-group type: P4mm (99)
* energy of formation: -280.6 meV/atom


Entry 17:
Compound: TaPtAu2
Source: the Alexandria database
Functional: PBEsol
Structure: optimized geometry

Cell and atoms, written as POSCAR:
```
TaPtAu2
1.0
3.499 0.000 0.000
0.000 3.499 0.000
0.000 0.000 5.431
Ta Pt Au
1 1 2
Direct
0.000 0.000 0.000
0.000 0.000 0.500
0.500 0.500 0.250
0.500 0.500 0.750
```

## Properties
* space-group type: P4/mmm (123)
* energy of formation: -65.9 meV/atom


Entry 18:
Compound: Ta2Pt2Au
Source: the Alexandria database
Functional: PBEsol
Structure: optimized geometry

Cell and atoms, written as POSCAR:
```
Ta2Pt2Au
1.0
7.757 0.000 0.000
0.000 7.757 0.000
0.000 0.000 2.805
Ta Pt Au
4 4 2
Direct
0.170 0.330 0.000
0.330 0.830 0.000
0.670 0.170 0.000
0.830 0.670 0.000
0.126 0.626 0.500
0.374 0.126 0.500
0.626 0.874 0.500
0.874 0.374 0.500
0.000 0.000 0.500
0.500 0.500 0.500
```

## Properties
* space-group type: P4/mbm (127)
* energy of formation: -426.5 meV/atom


Entry 19:
Compound: TcPt2Au
Source: the Alexandria database
Functional: PBEsol
Structure: optimized geometry

Cell and atoms, written as POSCAR:
```
TcPt2Au
1.0
4.557 -1.379 0.000
4.557 1.379 0.000
-0.795 0.000 4.796
Tc Pt Au
1 2 1
Direct
0.000 0.000 0.000
0.256 0.256 0.762
0.744 0.744 0.238
0.500 0.500 0.500
```

## Properties
* space-group type: C2/m (12)
* energy of formation: 50.7 meV/atom


Entry 20:
Compound: TcPt2Au
Source: the Alexandria database
Functional: PBEsol
Structure: optimized geometry

Cell and atoms, written as POSCAR:
```
TcPt2Au
1.0
2.755 0.000 0.000
0.000 3.930 0.000
0.000 0.000 5.577
Tc Pt Au
1 2 1
Direct
0.000 0.000 0.000
0.000 0.000 0.520
0.500 0.500 0.780
0.500 0.500 0.264
```

## Properties
* space-group type: Pmm2 (25)
* energy of formation: 63.8 meV/atom


E (eV per atom)
-5.680 -6.738 -6.555 -4.223 -3.412 -5.559 -4.997 -5.551 -6.292 -3.924 -4.936 -5.406 -4.376 -4.365 -4.307 -7.121 -6.907 -9.017 -7.229 -7.216